Entry 1:
ScTaCo2 | PBE-GGA | relaxed

The calculation puts the formation energy at 0.09 eV/atom. The calculation puts the mass density at 9.32 g/cm3. Its magnetization is 0.0 μB per formula unit. The value obtained for the total energy is -8.01 eV per atom.

The space group is P2/m (No. 10) and the conventional cell measures 4.3226, 2.9076 and 4.9766 Å, with angles of 90.00, 101.66 and 90.00 degrees. Symmetry generates all atoms from Sc at (0.0000, 0.0000, 0.0000), Ta at (0.5000, 0.5000, 0.5000), Co at (0.0000, 0.0000, 0.5000) and Co at (0.5000, 0.5000, 0.0000).



Entry 2:
CaTbAl | PBE-GGA | relaxed

The calculation puts the formation energy at -0.03 eV/atom. The calculation puts the mass density at 4.17 g/cm3. Its magnetization is 0.0 μB per formula unit. The value obtained for the total energy is -3.49 eV per atom.

The space group is P4/nmm (No. 129, origin choice 2) and the conventional cell measures 4.8120, 4.8120 and 7.7728 Å, with angles of 90.00, 90.00 and 90.00 degrees. Symmetry generates all atoms from Ca at (0.2500, 0.2500, 0.2032), Tb at (0.2500, 0.2500, 0.7329) and Al at (0.2500, 0.7500, 0.5000).



Entry 3:
PrTm6Tl6 | PBE-GGA | relaxed

The calculation puts the formation energy at -0.17 eV/atom. The calculation puts the mass density at 10.71 g/cm3. Its magnetization is 1.1 μB per formula unit. The value obtained for the total energy is -3.69 eV per atom.

The space group is P6/mmm (No. 191) and the conventional cell measures 6.3817, 6.3817 and 10.4622 Å, with angles of 90.00, 90.00 and 120.00 degrees. Symmetry generates all atoms from Pr at (0.0000, 0.0000, 0.0000), Tm at (0.0000, 0.0000, 0.3401), Tm at (0.3333, 0.6667, 0.0000), Tm at (0.3333, 0.6667, 0.5000) and Tl at (0.0000, 0.5000, 0.2459).



Entry 4:
TbSmPSe | PBE-GGA | relaxed

The calculation puts the mass density at 7.01 g/cm3. Its magnetization is 0.0 μB per formula unit. The value obtained for the total energy is -6.28 eV per atom. Its formation energy (no corrections) is -1.714 eV/atom.

The space group is R3m (No. 160, hexagonal axes) and the conventional cell measures 4.0204, 4.0204 and 21.2782 Å, with angles of 90.00, 90.00 and 120.00 degrees. Symmetry generates all atoms from Tb at (0.0000, 0.0000, 0.0000), Sm at (0.0000, 0.0000, 0.8154), P at (0.0000, 0.0000, 0.4073) and Se at (0.0000, 0.0000, 0.2416).